(1)
Entry from the Alexandria database: a geometry-optimized GdYNiRu structure (PBE-GGA).

The space group is F-43m (No. 216) and the conventional cell measures 6.830, 6.830 and 6.830 Å, with angles of 90.00, 90.00 and 90.00 degrees. The distinct sites, in fractional coordinates, are Gd at (0.000, 0.000, 0.000), Y at (0.000, 0.000, 0.500), Ni at (0.250, 0.250, 0.250) and Ru at (0.250, 0.250, 0.750).

As for the formation enthalpy at 0 K: -0.340 eV per atom. The calculation puts the density of states at the Fermi level at 11.7 states/eV/cell. As for the density: 8461 kg/m³. As for the calculated total energy: -9.241 eV per atom.

=====

(2)
Entry from the Alexandria database: a geometry-optimized Sm3YTm7 structure (PBE-GGA).

The space group is P2/m (No. 10) and the conventional cell measures 6.920, 5.463 and 9.923 Å, with angles of 90.00, 110.16 and 90.00 degrees. The distinct sites, in fractional coordinates, are Sm at (0.000, 0.000, 0.000), Sm at (0.283, 0.500, 0.498), Y at (0.500, 0.000, 0.000), Tm at (0.000, 0.000, 0.500), Tm at (0.146, 0.500, 0.789), Tm at (0.320, 0.500, 0.139) and Tm at (0.419, 0.000, 0.330).

As for the formation enthalpy at 0 K: 0.160 eV per atom. The calculation puts the density of states at the Fermi level at 18.6 states/eV/cell. As for the density: 8123 kg/m³. As for the calculated total energy: -4.560 eV per atom.

=====

Q: Number 1 is which compound?
A: GdYNiRu

=====

Q: Among the records above, which one has the lowest formation enthalpy at 0 K?
A: GdYNiRu

=====

Q: Which formula does entry 2 have?
A: Sm3YTm7